VASP calculation (PBE-GGA) on crystalline LaP2Au at its relaxed geometry.

abc: 4.1948 4.8800 4.5165
angles: 90.00 91.43 90.00
Last column: nearest neighbours and their distance in Å.
Positions (direct):
La 0.0000 0.0000 0.0000  5 P 2.93-3.15
P 0.3949 0.5000 0.8038  2 Au 2.36-2.39
P 0.4846 0.0000 0.5446  2 Au 2.70, 2 P 2.74, 2 La 2.93-2.95
Au 0.5707 0.5000 0.3036  2 P 2.36-2.39

Summary:
Magnetization   0.000 μB/atom
Space-group type   No. 6
Energy   -0.396 Ry/atom
DOS(E_F)   0.1782 states/eV per atom